The following is a PBE calculation of a geometry-optimized NbCoTc2H structure, from the Alexandria database.

- total DFT energy (no corrections) (eV/atom) = -8.251
- space-group type = P4/mmm (123)
- DOS at the Fermi energy (states/eV per cell) = 4.52
- crystal system = tetragonal

Cell: 3.853 3.853 4.030 Å, 90.00 90.00 90.00°
Sites, in units of the cell vectors:
Nb1 0.000 0.000 0.000
Co1 0.500 0.500 0.000
Tc1 0.000 0.500 0.500
Tc2 0.500 0.000 0.500
H1 0.000 0.000 0.500